Record 1
Cs2SeF6 | PBE | optimized geometry

Cell and atoms, written as POSCAR:
```
Cs2SeF6
1.0
6.556 0.000 0.000
3.278 5.678 0.000
3.278 1.893 5.353
Cs Se F
2 1 6
direct
0.250 0.250 0.250
0.750 0.750 0.750
0.000 0.000 0.000
0.212 0.788 0.788
0.212 0.788 0.212
0.788 0.212 0.788
0.788 0.212 0.212
0.788 0.788 0.212
0.212 0.212 0.788
```

Computed properties:
density of states at the Fermi level: 0.00 states/eV/f.u.

---

Record 2
Cs2Se2F | PBE | optimized geometry

Cell and atoms, written as POSCAR:
```
Cs2Se2F
1.0
-2.747 0.885 -2.745
-2.858 -0.321 2.757
-1.851 9.693 2.088
Cs Se F
2 2 1
direct
0.407 0.407 0.187
0.593 0.593 0.813
0.750 0.250 0.500
0.250 0.750 0.500
0.000 0.000 0.000
```

Computed properties:
density of states at the Fermi level: 0.82 states/eV/f.u.
ΔE to the lowest computed polymorph: 70 meV per atom

---

Record 3
CsSe3F | PBE | optimized geometry

Cell and atoms, written as POSCAR:
```
CsSe3F
1.0
5.992 0.000 0.000
0.000 5.992 0.000
0.000 0.000 5.992
Cs Se F
1 3 1
direct
0.000 0.000 0.000
0.000 0.500 0.000
0.000 0.000 0.500
0.500 0.000 0.000
0.500 0.500 0.500
```

Computed properties:
density of states at the Fermi level: 13.77 states/eV/f.u.

---

Record 4
Cs4SeF2 | PBE | optimized geometry

Cell and atoms, written as POSCAR:
```
Cs4SeF2
1.0
4.753 0.000 0.000
-2.376 7.239 0.000
0.000 0.000 14.919
Cs Se F
8 2 4
direct
0.774 0.548 0.111
0.774 0.548 0.389
0.226 0.452 0.889
0.226 0.452 0.611
0.935 0.870 0.750
0.065 0.130 0.250
0.500 0.000 0.000
0.500 0.000 0.500
0.609 0.219 0.750
0.391 0.781 0.250
0.130 0.259 0.442
0.870 0.741 0.942
0.130 0.259 0.058
0.870 0.741 0.558
```

Computed properties:
density of states at the Fermi level: 0.00 states/eV/f.u.
ΔE to the lowest computed polymorph: 0 meV per atom

---

Record 5
CsSeF2 | PBE | optimized geometry

Cell and atoms, written as POSCAR:
```
CsSeF2
1.0
-3.018 -3.734 1.427
1.804 -3.754 2.782
-1.352 -0.431 4.803
Cs Se F
1 1 2
direct
0.500 0.500 0.500
0.000 0.000 0.000
0.250 0.250 0.250
0.750 0.750 0.750
```

Computed properties:
ΔE to the lowest computed polymorph: 595 meV per atom

---

Record 6
Cs2Se2F | PBE | optimized geometry

Cell and atoms, written as POSCAR:
```
Cs2Se2F
1.0
-4.480 2.320 0.042
-1.216 -7.726 -5.922
0.365 0.512 10.618
Cs Se F
4 4 2
direct
0.279 0.558 0.367
0.453 0.906 0.109
0.721 0.442 0.633
0.547 0.094 0.891
0.050 0.099 0.657
0.219 0.438 0.935
0.950 0.901 0.343
0.781 0.562 0.065
0.653 0.306 0.275
0.347 0.694 0.725
```

Computed properties:
density of states at the Fermi level: 0.15 states/eV/f.u.
ΔE to the lowest computed polymorph: 0 meV per atom

---

Record 7
Cs12Se3F5 | PBE | optimized geometry

Cell and atoms, written as POSCAR:
```
Cs12Se3F5
1.0
-8.703 -14.073 -0.847
13.263 -2.282 9.664
-9.490 11.986 6.386
Se F Cs
12 20 48
direct
0.750 0.375 0.125
0.875 0.750 0.125
0.375 0.750 0.625
0.250 0.125 0.375
0.875 0.125 0.250
0.375 0.625 0.250
0.625 0.375 0.750
0.125 0.875 0.750
0.750 0.875 0.625
0.625 0.250 0.375
0.125 0.250 0.875
0.250 0.625 0.875
0.125 0.375 0.250
0.000 0.500 0.000
0.000 0.000 0.000
0.375 0.250 0.125
0.500 0.000 0.500
0.500 0.500 0.000
0.125 0.750 0.375
0.750 0.125 0.875
0.750 0.625 0.375
0.375 0.125 0.750
0.625 0.875 0.250
0.500 0.500 0.500
0.500 0.000 0.000
0.000 0.000 0.500
0.250 0.375 0.625
0.250 0.875 0.125
0.000 0.500 0.500
0.875 0.250 0.625
0.625 0.750 0.875
0.875 0.625 0.750
0.708 0.125 0.029
0.321 0.529 0.404
0.971 0.375 0.292
0.529 0.208 0.125
0.583 0.708 0.679
0.971 0.596 0.179
0.321 0.792 0.417
0.096 0.917 0.125
0.596 0.971 0.679
0.708 0.583 0.179
0.792 0.471 0.375
0.821 0.904 0.029
0.125 0.708 0.529
0.375 0.404 0.083
0.083 0.904 0.375
0.417 0.125 0.596
0.083 0.179 0.208
0.471 0.679 0.096
0.821 0.917 0.292
0.125 0.417 0.096
0.375 0.971 0.792
0.596 0.625 0.417
0.904 0.821 0.529
0.792 0.321 0.917
0.404 0.375 0.583
0.096 0.179 0.471
0.208 0.679 0.083
0.179 0.083 0.708
0.625 0.029 0.208
0.875 0.583 0.904
0.529 0.321 0.904
0.583 0.875 0.404
0.917 0.821 0.792
0.917 0.096 0.625
0.875 0.292 0.471
0.179 0.096 0.971
0.625 0.596 0.917
0.404 0.029 0.321
0.292 0.417 0.821
0.208 0.529 0.625
0.904 0.083 0.875
0.679 0.208 0.583
0.471 0.792 0.875
0.029 0.404 0.821
0.417 0.292 0.321
0.029 0.625 0.708
0.679 0.471 0.596
0.292 0.875 0.971
```

Computed properties:
density of states at the Fermi level: 1.36 states/eV/f.u.

---

Record 8
Cs3SeF7 | PBE | optimized geometry

Cell and atoms, written as POSCAR:
```
Cs3SeF7
1.0
6.439 0.000 0.000
0.000 8.684 0.000
0.000 0.000 8.684
Cs Se F
6 2 14
direct
0.500 0.192 0.692
0.500 0.692 0.808
0.500 0.308 0.192
0.500 0.808 0.308
0.000 0.500 0.500
0.000 0.000 0.000
0.000 0.000 0.500
0.000 0.500 0.000
0.779 0.389 0.889
0.779 0.611 0.111
0.779 0.111 0.389
0.779 0.889 0.611
0.221 0.389 0.889
0.221 0.889 0.611
0.221 0.111 0.389
0.221 0.611 0.111
0.500 0.000 0.000
0.500 0.500 0.500
0.000 0.840 0.340
0.000 0.340 0.160
0.000 0.660 0.840
0.000 0.160 0.660
```

Computed properties:
density of states at the Fermi level: 0.00 states/eV/f.u.

---

Record 9
CsSnSeF2 | PBE | optimized geometry

Cell and atoms, written as POSCAR:
```
CsSnSeF2
1.0
-4.458 -1.932 -0.105
0.568 -1.054 -4.710
1.998 -4.679 1.289
Cs Sn Se F
1 1 1 2
direct
0.500 0.500 0.500
0.000 0.000 0.000
0.000 0.000 0.500
0.000 0.500 0.000
0.500 0.000 0.000
```

Computed properties:
density of states at the Fermi level: 0.05 states/eV/f.u.

---

Record 10
CsSnSeF | PBE | optimized geometry

Cell and atoms, written as POSCAR:
```
CsSnSeF
1.0
4.090 0.000 0.000
-2.045 5.487 -0.015
0.000 -0.073 5.946
Cs Sn Se F
1 1 1 1
direct
0.935 0.871 0.775
0.219 0.438 0.277
0.554 0.109 0.265
0.246 0.491 0.923
```

---

Record 11
Cs2SrSeF6 | PBE | optimized geometry

Cell and atoms, written as POSCAR:
```
Cs2SrSeF6
1.0
6.258 0.000 0.000
0.000 6.258 0.000
3.129 3.129 6.042
Cs Sr Se F
2 1 1 6
direct
0.750 0.250 0.500
0.250 0.750 0.500
0.000 0.000 0.000
0.500 0.500 0.000
0.196 0.196 0.609
0.804 0.804 0.391
0.272 0.272 0.000
0.728 0.728 0.000
0.728 0.272 0.000
0.272 0.728 0.000
```

Computed properties:
density of states at the Fermi level: 0.00 states/eV/f.u.

---

Record 12
Cs5TaSe4F2 | PBE | optimized geometry

Cell and atoms, written as POSCAR:
```
Cs5TaSe4F2
1.0
8.058 0.000 0.000
-4.029 6.696 0.000
0.000 0.000 9.225
Cs Ta Se F
5 1 4 2
direct
0.118 0.411 0.276
0.300 0.000 0.500
0.118 0.411 0.724
0.708 0.589 0.724
0.708 0.589 0.276
0.424 0.000 0.000
0.597 0.000 0.215
0.597 0.000 0.785
0.383 0.286 0.000
0.097 0.714 0.000
0.975 0.594 0.500
0.381 0.406 0.500
```

Computed properties:
density of states at the Fermi level: 0.00 states/eV/f.u.

---

Record 13
Cs2TaSeF6 | PBE | optimized geometry

Cell and atoms, written as POSCAR:
```
Cs2TaSeF6
1.0
-0.851 3.124 6.530
-7.137 -1.461 -0.231
-3.116 -3.828 5.493
Cs F Se Ta
2 6 1 1
direct
0.750 0.250 0.500
0.250 0.750 0.500
0.182 0.182 0.636
0.818 0.818 0.364
0.187 0.187 0.000
0.813 0.813 0.000
0.813 0.187 0.000
0.187 0.813 0.000
0.500 0.500 0.000
0.000 0.000 0.000
```

Computed properties:
density of states at the Fermi level: 26.76 states/eV/f.u.

---

Record 14
Cs2TeSeF6 | PBE | optimized geometry

Cell and atoms, written as POSCAR:
```
Cs2TeSeF6
1.0
-4.178 3.002 4.610
-4.585 -5.100 -0.834
-1.999 -3.842 5.866
Cs Te Se F
2 1 1 6
direct
0.750 0.250 0.500
0.250 0.750 0.500
0.000 0.000 0.000
0.500 0.500 0.000
0.193 0.193 0.615
0.807 0.807 0.385
0.214 0.214 0.000
0.786 0.786 0.000
0.786 0.214 0.000
0.214 0.786 0.000
```

Computed properties:
density of states at the Fermi level: 0.00 states/eV/f.u.

---

Record 15
Cs2TlSeF6 | PBE | optimized geometry

Cell and atoms, written as POSCAR:
```
Cs2TlSeF6
1.0
-1.596 5.273 -3.636
-4.623 1.645 4.415
0.418 6.335 3.011
Cs Tl Se F
2 1 1 6
direct
0.750 0.250 0.500
0.250 0.750 0.500
0.000 0.000 0.000
0.500 0.500 0.000
0.247 0.247 0.507
0.753 0.753 0.493
0.289 0.289 0.000
0.711 0.711 0.000
0.711 0.289 0.000
0.289 0.711 0.000
```

Computed properties:
density of states at the Fermi level: 0.00 states/eV/f.u.

---

Record 16
CsTl2SeF | PBE | optimized geometry

Cell and atoms, written as POSCAR:
```
CsTl2SeF
1.0
-4.277 0.500 1.383
-2.373 -5.675 -5.289
1.733 -5.804 7.456
Cs Tl Se F
2 4 2 2
direct
0.750 0.276 0.033
0.250 0.724 0.967
0.250 0.626 0.378
0.250 0.121 0.372
0.750 0.879 0.628
0.750 0.374 0.622
0.750 0.869 0.300
0.250 0.131 0.700
0.750 0.535 0.854
0.250 0.465 0.146
```

---

Record 17
Cs2TlSeF | PBE | optimized geometry

Cell and atoms, written as POSCAR:
```
Cs2TlSeF
1.0
-3.798 1.674 -3.916
3.120 -2.478 -4.085
-2.789 -4.676 0.706
Cs Tl Se F
2 1 1 1
direct
0.000 0.500 0.000
0.500 0.000 0.000
0.000 0.000 0.500
0.500 0.500 0.500
0.000 0.000 0.000
```

---

Record 18
CsUSe2F | PBE | optimized geometry

Cell and atoms, written as POSCAR:
```
CsUSe2F
1.0
4.232 0.000 0.000
0.000 8.448 0.325
0.000 -3.237 9.210
Cs U Se F
2 2 4 2
direct
0.250 0.703 0.313
0.750 0.297 0.687
0.250 0.825 0.833
0.750 0.175 0.167
0.750 0.838 0.647
0.750 0.822 0.034
0.250 0.162 0.353
0.250 0.178 0.966
0.250 0.561 0.768
0.750 0.439 0.232
```

Computed properties:
density of states at the Fermi level: 5.89 states/eV/f.u.

---

Record-wise formation energy from raw total energies values, in eV/atom: -2.305; -1.351; 1.016; -1.933; -1.066; -1.421; -1.760; -2.367; -1.743; -1.516; -2.624; -1.646; -2.581; -1.968; -2.054; -1.246; -1.342; -1.913